A plane-wave DFT calculation with GGA-PBE was carried out for a relaxed ScTlPd2 crystal.

Geometry as extended XYZ:
```
4
Lattice="-2.4869 -2.7143 0.6086 3.3153 -2.9770 0.2700 0.2891 0.7207 4.3959" Properties=species:S:1:pos:R:3 pbc="T T T"
Sc -1.2434 -1.3572 0.3043
Tl 0.5588 -2.4853 2.6372
Pd 0.1446 0.3603 2.1979
Pd 1.6577 -1.4885 0.1350
```

Results
The energy of formation from the pure elements comes out at -2.1 eV/f.u. As for the space group: P4/mmm (123). The crystal system is tetragonal.